Compound: PuCu3Ge3
Source: the Alexandria database
Functional: GGA-PBE
Structure: relaxed

Structure (CIF):
```
data_PuCu3Ge3
_chemical_formula_sum 'Pu6 Cu18 Ge18'
_cell_length_a 6.1071
_cell_length_b 6.1071
_cell_length_c 22.9335
_cell_angle_alpha 90.00
_cell_angle_beta 90.00
_cell_angle_gamma 120.00
_space_group_name_H-M_alt 'R -3'
_space_group_IT_number 148
_space_group_name_Hall '-R 3'
loop_
_atom_site_label
_atom_site_type_symbol
_atom_site_fract_x
_atom_site_fract_y
_atom_site_fract_z
_atom_site_occupancy
Pu1 Pu 0.0000 0.0000 0.1807 1
Cu1 Cu 0.0411 0.2642 0.6952 1
Ge1 Ge 0.0538 0.4458 0.2476 1
```

For the formation energy, the calculation gives -0.05 eV per atom. The crystal system is trigonal.

Compound: Dy2AlV2Ru5
Source: the Alexandria database
Functional: GGA-PBE
Structure: relaxed

Structure (CIF):
```
data_Dy2AlV2Ru5
_chemical_formula_sum 'Dy4 Al2 V4 Ru10'
_cell_length_a 10.228
_cell_length_b 10.228
_cell_length_c 3.181
_cell_angle_alpha 90.00
_cell_angle_beta 90.00
_cell_angle_gamma 90.00
_space_group_name_H-M_alt 'P 4/m b m'
_space_group_IT_number 127
_space_group_name_Hall '-P 4 2ab'
loop_
_atom_site_label
_atom_site_type_symbol
_atom_site_fract_x
_atom_site_fract_y
_atom_site_fract_z
_atom_site_occupancy
Dy1 Dy 0.172 0.328 0.000 1
Al1 Al 0.000 0.000 0.000 1
V1 V 0.130 0.630 0.000 1
Ru1 Ru 0.000 0.500 0.500 1
Ru2 Ru 0.066 0.800 0.500 1
```

For the formation energy, the calculation gives -0.28 eV per atom. The crystal system is tetragonal.

Compound: NbSiPb2
Source: the Alexandria database
Functional: GGA-PBE
Structure: relaxed

Structure (CIF):
```
data_NbSiPb2
_chemical_formula_sum 'Nb4 Si4 Pb8'
_cell_length_a 8.075
_cell_length_b 8.075
_cell_length_c 5.891
_cell_angle_alpha 90.00
_cell_angle_beta 90.00
_cell_angle_gamma 90.00
_space_group_name_H-M_alt 'I -4 2 d'
_space_group_IT_number 122
_space_group_name_Hall 'I -4 2bw'
loop_
_atom_site_label
_atom_site_type_symbol
_atom_site_fract_x
_atom_site_fract_y
_atom_site_fract_z
_atom_site_occupancy
Nb1 Nb 0.000 0.000 0.000 1
Si1 Si 0.000 0.000 0.500 1
Pb1 Pb 0.245 0.250 0.625 1
```

The crystal system is tetragonal. As for the uncorrected formation energy: 3.15 eV/f.u.

Compound: Mo2RuW
Source: the Alexandria database
Functional: GGA-PBE
Structure: relaxed

Structure (CIF):
```
data_Mo2RuW
_chemical_formula_sum 'Mo6 Ru3 W3'
_cell_length_a 2.7691
_cell_length_b 2.7691
_cell_length_c 28.3192
_cell_angle_alpha 90.00
_cell_angle_beta 90.00
_cell_angle_gamma 120.00
_space_group_name_H-M_alt 'R 3 m'
_space_group_IT_number 160
_space_group_name_Hall 'R 3 -2"'
loop_
_atom_site_label
_atom_site_type_symbol
_atom_site_fract_x
_atom_site_fract_y
_atom_site_fract_z
_atom_site_occupancy
Mo1 Mo 0.0000 0.0000 0.0000 1
Mo2 Mo 0.0000 0.0000 0.2459 1
Ru1 Ru 0.0000 0.0000 0.5004 1
W1 W 0.0000 0.0000 0.7541 1
```

The energy above the lowest structure with this stoichiometry comes out at 0.166 eV per atom. For the formation energy, the calculation gives 0.28 eV per atom. The crystal system is trigonal.